The following is a PBE calculation of a relaxed structure of Sm6HoTl5, from the Alexandria database.

Symmetry = C2/m, No. 12
Formation energy from the elements = -188 meV per atom

abc: 7.776 7.776 6.343
angles: 98.74 98.74 95.54
Fractional positions:
Sm: 0.045 0.405 0.733
Sm: 0.220 0.220 0.217
Sm: 0.405 0.045 0.733
Sm: 0.595 0.955 0.267
Sm: 0.780 0.780 0.783
Sm: 0.955 0.595 0.267
Ho: 0.500 0.500 0.000
Tl: 0.000 0.000 0.500
Tl: 0.207 0.793 0.000
Tl: 0.364 0.636 0.500
Tl: 0.636 0.364 0.500
Tl: 0.793 0.207 0.000

***

The following is a PBE calculation of a relaxed structure of SmHo2Tl, from the Alexandria database.

Symmetry = P2_1/m, No. 11
Formation energy from the elements = -153 meV per atom

abc: 4.685 4.813 11.175
angles: 90.00 102.10 90.00
Fractional positions:
Sm: 0.193 0.250 0.386
Sm: 0.807 0.750 0.614
Ho: 0.056 0.750 0.114
Ho: 0.436 0.750 0.870
Ho: 0.564 0.250 0.130
Ho: 0.944 0.250 0.886
Tl: 0.337 0.250 0.674
Tl: 0.663 0.750 0.326